(1)
P2AuBr | Alexandria | GGA-PBE | optimized geometry; raw total energy = -3.32 eV/atom; raw formation energy = 0.619 eV per atom
1.0
3.595 0.000 0.000
0.000 3.595 0.000
0.000 0.000 8.111
P Au Br
2 1 1
Cartesian
0.000 1.798 0.000 P
1.798 0.000 0.000 P
0.000 0.000 4.056 Au
1.798 1.798 4.056 Br

(2)
LiAcZnHg3 | Alexandria | GGA-PBE | optimized geometry; raw total energy = -1.58 eV/atom; formation energy = -0.2176 eV per atom
1.0
3.485 -6.491 0.000
3.485 6.491 0.000
0.000 0.000 6.456
Li Ac Zn Hg
2 2 2 6
Cartesian
3.485 5.907 4.842 Li
3.485 -5.907 1.614 Li
3.485 2.718 4.842 Ac
3.485 -2.718 1.614 Ac
3.485 1.745 1.614 Zn
3.485 -1.745 4.842 Zn
3.485 4.419 1.614 Hg
1.965 0.000 0.000 Hg
1.965 0.000 3.228 Hg
5.006 0.000 0.000 Hg
5.006 0.000 3.228 Hg
3.485 -4.419 4.842 Hg

(3)
Mg3Cd2Bi4 | Alexandria | GGA-PBE | optimized geometry; raw total energy = -2.48 eV/atom; formation energy = -0.0222 eV per atom
1.0
6.425 -6.244 0.000
6.425 6.244 0.000
-1.564 0.000 6.538
Mg Cd Bi
6 4 8
Cartesian
5.252 4.230 4.903 Mg
4.844 2.236 0.396 Mg
7.224 2.236 2.873 Mg
4.062 -2.236 3.665 Mg
6.442 -2.236 6.142 Mg
6.034 -4.230 1.634 Mg
1.403 2.084 4.137 Cd
2.185 -2.084 0.868 Cd
9.101 2.084 5.669 Cd
9.883 -2.084 2.401 Cd
2.114 0.995 0.306 Bi
1.332 -0.995 3.575 Bi
4.408 1.430 3.522 Bi
6.095 1.430 6.284 Bi
5.190 -1.430 0.253 Bi
6.877 -1.430 3.016 Bi
9.954 0.995 2.963 Bi
9.172 -0.995 6.232 Bi

(4)
ScTcRh2 | Alexandria | GGA-PBE | optimized geometry; raw total energy = -8.18 eV/atom; formation energy = -0.3306 eV per atom
1.0
-2.011 2.011 3.823
2.011 -2.011 3.823
2.011 2.011 -3.823
Sc Tc Rh
1 1 2
Cartesian
0.000 0.000 0.000 Sc
0.000 0.000 3.823 Tc
2.011 0.000 1.911 Rh
0.000 2.011 1.911 Rh

(5)
KSnCl6 | Alexandria | GGA-PBE | optimized geometry; raw total energy = -3.02 eV/atom; raw formation energy = -0.995 eV per atom
1.0
6.092 0.000 0.000
-1.049 6.196 0.000
-2.928 -1.783 6.389
K Sn Cl
1 1 6
Cartesian
0.000 0.000 0.000 K
-1.988 2.206 3.195 Sn
-0.543 0.096 3.440 Cl
-0.200 3.188 1.853 Cl
-1.050 3.099 5.260 Cl
3.165 1.314 1.130 Cl
2.315 1.225 4.536 Cl
2.658 4.317 2.949 Cl

(6)
LiTa2P | Alexandria | GGA-PBE | optimized geometry; raw total energy = -7.88 eV/atom; formation energy = -0.1248 eV per atom
1.0
1.747 -2.318 0.000
1.747 2.318 0.000
0.000 0.000 8.374
Li Ta P
1 2 1
Cartesian
0.000 0.000 0.000 Li
0.000 0.000 3.638 Ta
1.747 0.000 5.850 Ta
1.747 0.000 1.842 P

(7)
SrCaI2N | Alexandria | GGA-PBE | optimized geometry; raw total energy = -3.53 eV/atom; raw formation energy = -0.509 eV per atom
1.0
6.123 0.000 0.000
0.000 6.123 0.000
0.000 0.000 4.432
Sr Ca I N
1 1 2 1
Cartesian
0.000 0.000 0.000 Sr
3.061 3.061 2.216 Ca
0.000 3.061 2.216 I
3.061 0.000 2.216 I
3.061 3.061 0.000 N

(8)
ZrU2MnC4 | Alexandria | GGA-PBE | optimized geometry; raw total energy = -9.73 eV/atom; formation energy = -0.0855 eV per atom
1.0
1.662 -5.525 0.000
1.662 5.525 0.000
0.000 0.000 11.537
Zr U Mn C
2 4 2 8
Cartesian
1.662 4.322 8.653 Zr
1.662 -4.322 2.884 Zr
1.662 1.519 6.341 U
1.662 1.519 10.964 U
1.662 -1.519 0.573 U
1.662 -1.519 5.196 U
1.662 3.838 2.884 Mn
1.662 -3.838 8.653 Mn
0.000 0.000 0.000 C
0.000 0.000 5.768 C
1.662 2.466 1.570 C
1.662 2.466 4.199 C
1.662 0.626 8.653 C
1.662 -0.626 2.884 C
1.662 -2.466 7.338 C
1.662 -2.466 9.967 C

(9)
MnRu4Au | Alexandria | GGA-PBE | optimized geometry; raw total energy = -7.71 eV/atom; formation energy = 0.5519 eV per atom
1.0
0.000 3.617 3.617
3.617 0.000 3.617
3.617 3.617 0.000
Mn Ru Au
1 4 1
Cartesian
0.000 0.000 0.000 Mn
2.713 2.713 2.713 Ru
4.520 4.520 2.713 Ru
4.520 2.713 4.520 Ru
2.713 4.520 4.520 Ru
5.425 5.425 5.425 Au

(10)
YAgMo2 | Alexandria | GGA-PBE | optimized geometry; raw total energy = -7.55 eV/atom; formation energy = 0.1933 eV per atom
1.0
3.290 0.000 0.000
0.000 3.274 0.000
-0.060 0.000 7.291
Y Ag Mo
1 1 2
Cartesian
0.000 0.000 0.000 Y
1.586 1.637 5.149 Ag
1.628 1.637 2.067 Mo
3.226 0.000 3.324 Mo

(11)
HgRu2Cl | Alexandria | GGA-PBE | optimized geometry; raw total energy = -4.43 eV/atom; raw formation energy = 0.748 eV per atom
1.0
2.974 0.000 0.000
0.000 4.014 0.000
-1.110 0.000 5.551
Hg Ru Cl
1 2 1
Cartesian
0.000 0.000 0.000 Hg
0.247 2.007 3.910 Ru
1.617 2.007 1.641 Ru
0.932 0.000 2.775 Cl